P.
This record from OQMD describes a relaxed structure of HfTlAgSeS2. The functional is PBE.

The calculation puts the volume at 290.5 Å³ per cell.

Cell and atoms, written as POSCAR:
```
HfTlAgSeS2
1.0
1.8958 -7.3051 0.0000
1.8958 7.3051 0.0000
0.0000 0.0000 10.4874
Tl Se Hf S Ag
2 2 2 4 2
direct
0.2614 0.7386 0.2500
0.7386 0.2614 0.7500
0.9370 0.0630 0.2500
0.0630 0.9370 0.7500
0.0000 0.0000 0.0000
0.0000 0.0000 0.5000
0.3809 0.6191 0.9748
0.3809 0.6191 0.5252
0.6191 0.3809 0.4748
0.6191 0.3809 0.0252
0.5701 0.4299 0.2500
0.4299 0.5701 0.7500
```

Q.
This record from OQMD describes a relaxed structure of HfTlAgSeS2. The functional is PBE.

The calculation puts the volume at 291.7 Å³ per cell.

Cell and atoms, written as POSCAR:
```
HfTlAgSeS2
1.0
-6.1327 2.5355 -4.6667
-2.1494 -2.8907 1.2540
-0.5784 4.3395 9.0121
S Ag Tl Se Hf
4 2 2 2 2
direct
0.0446 0.2500 0.3759
0.9554 0.7500 0.6241
0.3881 0.7500 0.6279
0.6119 0.2500 0.3721
0.5586 0.2500 0.1118
0.4414 0.7500 0.8882
0.2327 0.7500 0.2046
0.7673 0.2500 0.7954
0.7831 0.7500 0.0765
0.2169 0.2500 0.9235
0.1863 0.2500 0.6482
0.8137 0.7500 0.3518
```

Tell me which of them is the least stable. Sure, it is P.